[1]
Crystalline LiCr2 at its relaxed geometry. Source: Alexandria, functional PBE.

extended XYZ file:
```
9
Lattice="7.394 0.000 0.000 -3.697 6.403 0.000 0.000 0.000 2.255" Properties=species:S:1:pos:R:3 pbc="T T T"
Li 0.000 0.000 0.000
Li 0.000 4.269 1.127
Li 3.697 2.134 1.127
Cr -1.217 2.108 1.127
Cr -2.449 4.242 0.000
Cr 2.434 0.000 1.127
Cr 1.248 2.162 0.000
Cr 4.898 0.000 0.000
Cr 2.480 4.296 1.127
```

Computed properties:
The value obtained for the energy of formation from the pure elements is 0.447 eV per atom. As for the energy above the most stable polymorph in this dataset: 0.09 eV/f.u. The value obtained for the spin magnetization is 0.002 μB/f.u.

[2]
Crystalline YSi3O at its relaxed geometry. Source: Alexandria, functional PBE.

extended XYZ file:
```
5
Lattice="4.288 0.000 0.000 0.000 4.288 0.000 0.000 0.000 4.288" Properties=species:S:1:pos:R:3 pbc="T T T"
Y 0.000 0.000 0.000
Si 0.000 2.144 2.144
Si 2.144 0.000 2.144
Si 2.144 2.144 0.000
O 2.144 2.144 2.144
```

Computed properties:
The formation energy (no corrections) is -0.338 eV per atom. As for the energy above the most stable polymorph in this dataset: 0.00 eV/f.u. The value obtained for the spin magnetization is 0.000 μB/f.u.

[3]
Crystalline HfAlVMo2 at its relaxed geometry. Source: Alexandria, functional PBE.

extended XYZ file:
```
5
Lattice="4.773 0.000 0.000 0.000 4.773 0.000 0.000 0.000 4.607" Properties=species:S:1:pos:R:3 pbc="T T T"
Hf 0.000 0.000 0.000
Al 2.386 2.386 2.304
V 0.000 0.000 2.304
Mo 0.000 2.386 0.000
Mo 2.386 0.000 0.000
```

Computed properties:
The value obtained for the energy of formation from the pure elements is 1.752 eV per atom. The value obtained for the spin magnetization is 0.000 μB/f.u.

[4]
Crystalline Sm3DyGa4 at its relaxed geometry. Source: Alexandria, functional PBE.

extended XYZ file:
```
8
Lattice="-1.844 3.402 8.417 1.844 -3.402 8.417 1.844 3.402 -8.417" Properties=species:S:1:pos:R:3 pbc="T T T"
Sm 0.000 0.000 0.000
Sm 1.844 0.000 5.011
Sm 0.000 3.402 3.406
Dy 0.000 0.000 8.417
Ga 1.844 1.314 -2.162
Ga 1.844 1.314 2.162
Ga 0.000 2.089 6.256
Ga 0.000 2.089 10.579
```

Computed properties:
The value obtained for the energy of formation from the pure elements is -0.447 eV per atom. As for the energy above the most stable polymorph in this dataset: 1.05 eV/f.u. The value obtained for the spin magnetization is 0.000 μB/f.u.

- Look up the spin magnetization of the first one.
  0.002 μB/f.u.

- Which formula does entry 3 have?
  HfAlVMo2

- The highest spin magnetization belongs to which entry?
  LiCr2